# 1
Compound: H2RhW
Source: the Alexandria database
Functional: PBE
Structure: relaxed

energy relative to the lowest polymorph listed for this composition: 90 meV/atom
symmetry: R-3m
crystal system: trigonal

Cell lengths 2.9154, 2.9154, 5.2875 Å; angles 74.00, 74.00, 60.00 degrees
Sites, in units of the cell vectors:
Rh1 0.5000 0.5000 0.5000
H1 0.8765 0.8765 0.3704
H2 0.1235 0.1235 0.6296
W1 0.0000 0.0000 0.0000

# 2
Compound: Y2HRhW
Source: the Alexandria database
Functional: PBE
Structure: relaxed

symmetry: P4/mmm
crystal system: tetragonal
final energy: -31.672 eV/f.u.

Cell lengths 5.4963, 4.5811, 5.4963 Å; angles 90.00, 90.00, 90.00 degrees
Sites, in units of the cell vectors:
Y1 0.5000 0.0000 0.0000
Y2 0.0000 0.0000 0.5000
W1 0.0000 0.0000 0.0000
H1 0.5000 0.5000 0.5000
Rh1 0.0000 0.5000 0.0000

no.,magnetization (μB/atom)
1,0.0000
2,0.0000